Entry 1:
Pr3Er2In6: optimized geometry, GGA-PBE.

* formation energy from the elements: -0.226 eV/atom
* magnetic moment: 0.000 μB/cell
* ρ: 7.24 g/cm³

Structure (POSCAR):
```
Pr3Er2In6
1.0
-3.983 -0.315 -2.634
2.372 -2.552 -3.281
-2.792 -10.782 9.858
Er In Pr
2 6 3
direct
0.446 0.446 0.892
0.554 0.554 0.108
0.617 0.117 0.235
0.688 0.688 0.376
0.383 0.883 0.765
0.117 0.617 0.235
0.312 0.312 0.624
0.883 0.383 0.765
0.799 0.799 0.598
0.201 0.201 0.402
0.000 0.000 0.000
```

Entry 2:
Pr5ErIn4: optimized geometry, GGA-PBE.

* formation energy from the elements: -0.109 eV/atom
* magnetic moment: 0.000 μB/cell
* ρ: 6.43 g/cm³

Structure (POSCAR):
```
Pr5ErIn4
1.0
8.807 0.000 0.000
0.000 8.483 0.000
0.000 0.000 9.203
Pr Er In
10 2 8
direct
0.735 0.746 0.694
0.265 0.246 0.194
0.735 0.746 0.306
0.735 0.254 0.306
0.735 0.254 0.694
0.265 0.246 0.806
0.265 0.754 0.194
0.655 0.500 0.000
0.345 0.000 0.500
0.265 0.754 0.806
0.914 0.000 0.000
0.086 0.500 0.500
0.990 0.500 0.838
0.010 0.000 0.338
0.010 0.000 0.662
0.564 0.840 0.000
0.436 0.660 0.500
0.564 0.160 0.000
0.436 0.340 0.500
0.990 0.500 0.162
```

Entry 3:
Pr4Er3In2: optimized geometry, GGA-PBE.

* formation energy from the elements: -0.176 eV/atom
* magnetic moment: 0.000 μB/cell
* ρ: 7.59 g/cm³

Structure (POSCAR):
```
Pr4Er3In2
1.0
-0.656 -3.587 -4.034
5.824 -2.441 -2.445
3.431 -8.466 3.316
Er Pr In
3 4 2
direct
0.416 0.808 0.358
0.584 0.192 0.642
0.000 0.000 0.000
0.887 0.570 0.657
0.332 0.370 0.966
0.113 0.430 0.343
0.668 0.630 0.034
0.205 0.908 0.684
0.795 0.092 0.316
```

Entry 4:
Pr3Er4In2: optimized geometry, GGA-PBE.

* formation energy from the elements: -0.108 eV/atom
* magnetic moment: 0.000 μB/cell
* ρ: 7.70 g/cm³

Structure (POSCAR):
```
Pr3Er4In2
1.0
6.505 0.117 0.084
0.433 9.215 -1.706
0.433 1.354 9.273
Pr Er In
6 8 4
direct
0.750 0.465 0.535
0.250 0.535 0.465
0.908 0.040 0.181
0.592 0.819 0.960
0.408 0.181 0.040
0.092 0.960 0.819
0.413 0.893 0.324
0.593 0.522 0.175
0.087 0.676 0.107
0.587 0.107 0.676
0.907 0.825 0.478
0.913 0.324 0.893
0.093 0.175 0.522
0.407 0.478 0.825
0.036 0.366 0.220
0.964 0.634 0.780
0.536 0.220 0.366
0.464 0.780 0.634
```

Entry 5:
PrEr3In: optimized geometry, GGA-PBE.

* formation energy from the elements: -0.167 eV/atom
* magnetic moment: 0.003 μB/cell
* ρ: 8.48 g/cm³

Structure (POSCAR):
```
PrEr3In
1.0
-1.152 -4.592 -1.127
4.651 -1.267 0.405
-2.337 -4.851 11.649
In Er Pr
2 6 2
direct
0.978 0.250 0.692
0.670 0.750 0.308
0.575 0.250 0.499
0.371 0.250 0.907
0.278 0.750 0.093
0.773 0.250 0.103
0.074 0.750 0.501
0.875 0.750 0.897
0.177 0.250 0.295
0.471 0.750 0.705
```

Entry 6:
PrEr3In: optimized geometry, GGA-PBE.

* formation energy from the elements: 0.064 eV/atom
* magnetic moment: 0.000 μB/cell
* ρ: 7.59 g/cm³

Structure (POSCAR):
```
PrEr3In
1.0
-0.578 5.938 0.586
-5.025 0.124 -6.212
-2.827 -1.006 7.407
Er In Pr
6 2 2
direct
0.250 0.386 0.193
0.750 0.614 0.807
0.250 0.807 0.193
0.750 0.193 0.386
0.250 0.807 0.614
0.750 0.193 0.807
0.000 0.000 0.000
0.500 0.000 0.000
0.750 0.667 0.333
0.250 0.333 0.667
```

Entry 7:
Pr6ErIn2: optimized geometry, GGA-PBE.

* formation energy from the elements: -0.083 eV/atom
* magnetic moment: 0.000 μB/cell
* ρ: 6.79 g/cm³

Structure (POSCAR):
```
Pr6ErIn2
1.0
-0.585 5.045 -1.170
-3.141 2.099 10.642
8.584 2.583 6.867
In Pr Er
4 12 2
direct
0.250 0.210 0.360
0.750 0.360 0.210
0.750 0.790 0.640
0.250 0.640 0.790
0.750 0.033 0.364
0.250 0.364 0.033
0.249 0.718 0.476
0.750 0.995 0.823
0.250 0.823 0.995
0.750 0.177 0.005
0.749 0.476 0.718
0.251 0.524 0.282
0.750 0.636 0.967
0.751 0.282 0.524
0.250 0.967 0.636
0.250 0.005 0.177
0.750 0.785 0.215
0.250 0.215 0.785
```

Entry 8:
Pr5ErIn2: optimized geometry, GGA-PBE.

* formation energy from the elements: -0.270 eV/atom
* magnetic moment: 0.000 μB/cell
* ρ: 7.35 g/cm³

Structure (POSCAR):
```
Pr5ErIn2
1.0
-3.568 -2.173 -2.706
4.380 -5.347 -1.480
-4.525 -6.889 11.497
Pr In Er
10 4 2
direct
0.500 0.248 0.876
0.500 0.252 0.376
0.500 0.752 0.124
0.000 0.496 0.753
0.000 0.004 0.253
0.000 0.504 0.247
0.000 0.500 0.500
0.000 0.000 0.000
0.500 0.748 0.624
0.000 0.996 0.747
0.500 0.743 0.878
0.500 0.257 0.122
0.500 0.757 0.378
0.500 0.243 0.622
0.000 0.500 0.000
0.000 0.000 0.500
```

Entry 9:
Pr3Er3In2: optimized geometry, GGA-PBE.

* formation energy from the elements: -0.163 eV/atom
* magnetic moment: 0.000 μB/cell
* ρ: 7.51 g/cm³

Structure (POSCAR):
```
Pr3Er3In2
1.0
5.127 0.000 0.000
-2.563 5.950 0.000
0.000 0.000 16.723
Pr Er In
6 6 4
direct
0.046 0.092 0.896
0.954 0.908 0.396
0.954 0.908 0.104
0.046 0.092 0.604
0.276 0.552 0.750
0.724 0.448 0.250
0.637 0.275 0.459
0.363 0.725 0.541
0.444 0.887 0.250
0.363 0.725 0.959
0.556 0.113 0.750
0.637 0.275 0.041
0.240 0.480 0.374
0.240 0.480 0.126
0.760 0.520 0.626
0.760 0.520 0.874
```

Entry 10:
Pr6Er5In: optimized geometry, GGA-PBE.

* formation energy from the elements: -0.055 eV/atom
* magnetic moment: 0.000 μB/cell
* ρ: 7.65 g/cm³

Structure (POSCAR):
```
Pr6Er5In
1.0
0.477 0.714 -5.022
6.490 -6.564 2.266
-8.606 -3.846 1.218
Er Pr In
5 6 1
direct
0.000 0.664 0.336
0.500 0.167 0.833
0.000 0.336 0.664
0.500 0.833 0.167
0.500 0.500 0.500
0.246 0.413 0.079
0.754 0.921 0.587
0.745 0.246 0.246
0.246 0.079 0.413
0.255 0.754 0.754
0.754 0.587 0.921
0.000 0.000 0.000
```

Entry 11:
Pr2Er4In5: optimized geometry, GGA-PBE.

* formation energy from the elements: -0.161 eV/atom
* magnetic moment: 0.000 μB/cell
* ρ: 7.33 g/cm³

Structure (POSCAR):
```
Pr2Er4In5
1.0
6.359 0.000 0.000
3.179 5.302 0.000
3.179 0.000 10.249
Er In Pr
4 5 2
direct
0.459 0.337 0.746
0.204 0.337 0.254
0.796 0.663 0.746
0.541 0.663 0.254
0.750 0.500 0.500
0.250 0.500 0.500
0.000 0.500 0.000
0.500 0.500 0.000
0.500 0.000 0.000
0.111 0.000 0.779
0.889 0.000 0.221
```

Entry 12:
Pr4Er7In: optimized geometry, GGA-PBE.

* formation energy from the elements: 0.168 eV/atom
* magnetic moment: 0.000 μB/cell
* ρ: 7.64 g/cm³

Structure (POSCAR):
```
Pr4Er7In
1.0
5.840 0.000 0.000
2.920 11.316 -0.073
2.920 0.459 6.080
Pr Er In
4 7 1
direct
0.826 0.636 0.711
0.377 0.768 0.477
0.623 0.232 0.523
0.174 0.364 0.289
0.500 0.000 0.000
0.633 0.515 0.219
0.367 0.485 0.781
0.904 0.276 0.916
0.800 0.923 0.477
0.096 0.724 0.084
0.200 0.077 0.523
0.000 0.000 0.000
```

Entry 13:
Pr12Er6In: optimized geometry, GGA-PBE.

* formation energy from the elements: 0.086 eV/atom
* magnetic moment: 0.001 μB/cell
* ρ: 7.13 g/cm³

Structure (POSCAR):
```
Pr12Er6In
1.0
-7.338 -2.197 -4.291
-2.502 -2.416 8.062
-1.529 8.614 0.751
Pr Er In
12 6 1
direct
0.001 0.741 0.259
0.741 0.259 0.001
0.999 0.259 0.741
0.580 0.171 0.579
0.579 0.580 0.171
0.829 0.421 0.420
0.171 0.579 0.580
0.259 0.001 0.741
0.421 0.420 0.829
0.259 0.741 0.999
0.420 0.829 0.421
0.741 0.999 0.259
0.138 0.404 0.137
0.404 0.137 0.138
0.863 0.862 0.596
0.596 0.863 0.862
0.137 0.138 0.404
0.862 0.596 0.863
0.000 0.000 0.000
```

Entry 14:
Pr12Er7In: optimized geometry, GGA-PBE.

* formation energy from the elements: 0.080 eV/atom
* magnetic moment: 0.003 μB/cell
* ρ: 7.30 g/cm³

Structure (POSCAR):
```
Pr12Er7In
1.0
9.365 -0.103 -0.154
-2.703 8.967 -0.154
-2.703 -3.596 8.216
Er Pr In
7 12 1
direct
0.688 0.995 0.102
0.898 0.312 0.005
0.312 0.005 0.898
0.005 0.898 0.312
0.995 0.102 0.688
0.102 0.688 0.995
0.500 0.500 0.500
0.679 0.381 0.218
0.619 0.782 0.321
0.291 0.396 0.063
0.396 0.063 0.291
0.604 0.937 0.709
0.782 0.321 0.619
0.321 0.619 0.782
0.218 0.679 0.381
0.709 0.604 0.937
0.381 0.218 0.679
0.937 0.709 0.604
0.063 0.291 0.396
0.000 0.000 0.000
```

Entry 15:
Pr4ErIn2: optimized geometry, GGA-PBE.

* formation energy from the elements: -0.179 eV/atom
* magnetic moment: 0.000 μB/cell
* ρ: 7.14 g/cm³

Structure (POSCAR):
```
Pr4ErIn2
1.0
8.631 0.000 -0.518
0.000 6.743 0.000
-3.873 0.000 7.905
In Pr Er
4 8 2
direct
0.670 0.750 0.608
0.330 0.250 0.392
0.187 0.250 0.956
0.813 0.750 0.044
0.556 0.003 0.231
0.959 0.750 0.467
0.903 0.250 0.108
0.041 0.250 0.533
0.444 0.503 0.769
0.444 0.997 0.769
0.097 0.750 0.892
0.556 0.497 0.231
0.252 0.750 0.334
0.748 0.250 0.666
```

Entry 16:
Pr2Er3In3: optimized geometry, GGA-PBE.

* formation energy from the elements: -0.342 eV/atom
* magnetic moment: 0.000 μB/cell
* ρ: 8.22 g/cm³

Structure (POSCAR):
```
Pr2Er3In3
1.0
-0.185 -4.659 1.558
-0.524 -1.558 -4.720
9.217 -0.638 -0.812
In Er Pr
3 3 2
direct
0.500 0.000 0.500
0.000 0.500 0.500
0.000 0.500 0.000
0.500 0.000 0.000
0.500 0.500 0.270
0.500 0.500 0.730
0.000 0.000 0.256
0.000 0.000 0.744
```

Entry 17:
PrEr8In2: optimized geometry, GGA-PBE.

* formation energy from the elements: -0.145 eV/atom
* magnetic moment: 0.000 μB/cell
* ρ: 8.72 g/cm³

Structure (POSCAR):
```
PrEr8In2
1.0
-1.875 2.247 4.231
5.676 -3.794 4.531
3.513 6.323 -4.929
Pr Er In
1 8 2
direct
0.500 0.000 0.000
0.399 0.533 0.798
0.850 0.787 0.700
0.314 0.056 0.628
0.947 0.266 0.894
0.053 0.734 0.106
0.150 0.213 0.300
0.601 0.467 0.202
0.686 0.944 0.372
0.776 0.355 0.552
0.224 0.645 0.448
```

Entry 18:
Pr2Er5In: optimized geometry, GGA-PBE.

* formation energy from the elements: -0.096 eV/atom
* magnetic moment: 0.036 μB/cell
* ρ: 8.36 g/cm³

Structure (POSCAR):
```
Pr2Er5In
1.0
4.814 0.000 -0.934
-0.181 4.811 -0.934
-0.415 -0.431 10.740
Er Pr In
5 2 1
direct
0.618 0.118 0.236
0.118 0.618 0.236
0.382 0.882 0.764
0.500 0.500 0.000
0.882 0.382 0.764
0.743 0.743 0.485
0.257 0.257 0.515
0.000 0.000 0.000
```

Entry 19:
Pr4ErIn2: optimized geometry, GGA-PBE.

* formation energy from the elements: -0.005 eV/atom
* magnetic moment: 0.000 μB/cell
* ρ: 7.10 g/cm³

Structure (POSCAR):
```
Pr4ErIn2
1.0
-1.802 -3.487 -5.374
2.923 0.004 -5.979
0.860 -4.801 7.823
In Er Pr
2 1 4
direct
0.500 0.754 0.254
0.500 0.246 0.746
0.000 0.000 0.000
0.500 0.000 0.000
0.137 0.637 0.500
0.863 0.363 0.500
0.000 0.500 0.000
```